(1)
Material: MnAlB5
Method: DFT, GGA-PBE
State: relaxed

The structure in POSCAR format:
```
MnAlB5
1.0
3.377 -2.678 0.000
3.377 2.678 0.000
-0.130 0.000 6.338
Mn Al B
2 2 10
direct
0.026 0.974 0.750
0.974 0.026 0.250
0.000 0.500 0.500
0.500 0.000 0.000
0.072 0.673 0.028
0.223 0.441 0.815
0.327 0.928 0.472
0.376 0.624 0.250
0.441 0.223 0.315
0.559 0.777 0.685
0.624 0.376 0.750
0.673 0.072 0.528
0.777 0.559 0.185
0.928 0.327 0.972
```

=====

(2)
Material: MnAlB4
Method: DFT, GGA-PBE
State: relaxed

The structure in POSCAR format:
```
MnAlB4
1.0
5.930 0.000 0.000
0.000 10.564 0.000
0.000 0.000 3.207
Mn Al B
4 4 16
direct
0.148 0.084 0.000
0.352 0.584 0.000
0.648 0.416 0.000
0.852 0.916 0.000
0.091 0.356 0.000
0.409 0.856 0.000
0.591 0.144 0.000
0.909 0.644 0.000
0.014 0.204 0.500
0.108 0.941 0.500
0.137 0.520 0.500
0.192 0.684 0.500
0.308 0.184 0.500
0.363 0.020 0.500
0.392 0.441 0.500
0.486 0.704 0.500
0.514 0.296 0.500
0.608 0.559 0.500
0.637 0.980 0.500
0.692 0.816 0.500
0.808 0.316 0.500
0.863 0.480 0.500
0.892 0.059 0.500
0.986 0.796 0.500
```

=====

(3)
Material: MnAlB2
Method: DFT, GGA-PBE
State: relaxed

The structure in POSCAR format:
```
MnAlB2
1.0
-1.733 1.733 7.382
1.733 -1.733 7.382
1.733 1.733 -7.382
Mn Al B
2 2 4
direct
0.375 0.625 0.750
0.625 0.375 0.250
0.125 0.875 0.250
0.875 0.125 0.750
0.000 0.500 0.500
0.500 0.000 0.000
0.500 0.500 0.000
0.500 0.500 0.500
```

=====

(4)
Material: MnAl2B2
Method: DFT, GGA-PBE
State: relaxed

The structure in POSCAR format:
```
MnAl2B2
1.0
5.595 0.000 0.000
0.000 5.595 0.000
0.000 0.000 3.142
Mn Al B
2 4 4
direct
0.000 0.000 0.000
0.500 0.500 0.000
0.186 0.314 0.500
0.314 0.814 0.500
0.686 0.186 0.500
0.814 0.686 0.500
0.109 0.609 0.000
0.391 0.109 0.000
0.609 0.891 0.000
0.891 0.391 0.000
```

=====

(5)
Material: Mn5AlB2Mo2
Method: DFT, GGA-PBE
State: relaxed

The structure in POSCAR format:
```
Mn5AlB2Mo2
1.0
8.685 0.000 0.000
0.000 8.685 0.000
0.000 0.000 2.935
Mn Al B Mo
10 2 4 4
direct
0.000 0.500 0.000
0.068 0.219 0.000
0.219 0.932 0.000
0.281 0.432 0.000
0.432 0.719 0.000
0.500 0.000 0.000
0.568 0.281 0.000
0.719 0.568 0.000
0.781 0.068 0.000
0.932 0.781 0.000
0.000 0.000 0.500
0.500 0.500 0.500
0.123 0.377 0.500
0.377 0.877 0.500
0.623 0.123 0.500
0.877 0.623 0.500
0.177 0.677 0.500
0.323 0.177 0.500
0.677 0.823 0.500
0.823 0.323 0.500
```

=====

(6)
Material: Mn2AlBMo
Method: DFT, GGA-PBE
State: relaxed

The structure in POSCAR format:
```
Mn2AlBMo
1.0
4.588 0.000 0.000
0.000 4.588 0.000
0.000 0.000 4.900
Mn Al B Mo
2 1 1 1
direct
0.000 0.500 0.000
0.500 0.000 0.000
0.000 0.000 0.500
0.500 0.500 0.500
0.000 0.000 0.000
```

=====

(7)
Material: Mn5Nb2AlB2
Method: DFT, GGA-PBE
State: relaxed

The structure in POSCAR format:
```
Mn5Nb2AlB2
1.0
8.729 0.000 0.000
0.000 8.729 0.000
0.000 0.000 3.055
Mn Nb Al B
10 4 2 4
direct
0.000 0.500 0.000
0.068 0.220 0.000
0.220 0.932 0.000
0.280 0.432 0.000
0.432 0.720 0.000
0.500 0.000 0.000
0.568 0.280 0.000
0.720 0.568 0.000
0.780 0.068 0.000
0.932 0.780 0.000
0.176 0.676 0.500
0.324 0.176 0.500
0.676 0.824 0.500
0.824 0.324 0.500
0.000 0.000 0.500
0.500 0.500 0.500
0.122 0.378 0.500
0.378 0.878 0.500
0.622 0.122 0.500
0.878 0.622 0.500
```

=====

Number 1: energy of formation 0.0855 eV per atom, DOS at the Fermi energy 2.19 states/eV/f.u.. Number 2: energy of formation -0.0934 eV per atom, DOS at the Fermi energy 1.70 states/eV/f.u.. Number 3: energy of formation 0.2496 eV per atom, DOS at the Fermi energy 1.72 states/eV/f.u.. Number 4: energy of formation -0.1425 eV per atom, DOS at the Fermi energy 2.12 states/eV/f.u.. Number 5: energy of formation -0.2587 eV per atom, DOS at the Fermi energy 8.35 states/eV/f.u.. Number 6: energy of formation 1.8963 eV per atom, DOS at the Fermi energy 3.85 states/eV/f.u.. Number 7: energy of formation -0.3718 eV per atom, DOS at the Fermi energy 5.70 states/eV/f.u..